{
  "formula": "Pr5Tm3As8",
  "functional": "PBE",
  "state": "optimized geometry",
  "delta_e_f_ev_per_atom": -1.48,
  "dos_ef_per_ev_cell": 2.01,
  "mass_density_g_cm3": 7.08,
  "crystal_system": "trigonal",
  "lattice_angstrom": [[4.220, 2.437, 6.886], [-4.220, 2.437, 6.886], [0.000, -4.873, 6.886]],
  "species": ["Pr", "Pr", "Pr", "Pr", "Pr", "Tm", "Tm", "Tm", "As", "As", "As", "As", "As", "As", "As", "As"],
  "fractional_positions": [[0.000, 0.000, 0.000], [0.000, 0.500, 0.500], [0.500, 0.000, 0.500], [0.500, 0.500, 0.000], [0.500, 0.500, 0.500], [0.000, 0.000, 0.500], [0.000, 0.500, 0.000], [0.500, 0.000, 0.000], [0.240, 0.750, 0.750], [0.245, 0.245, 0.245], [0.250, 0.250, 0.760], [0.250, 0.760, 0.250], [0.750, 0.240, 0.750], [0.750, 0.750, 0.240], [0.755, 0.755, 0.755], [0.760, 0.250, 0.250]]
}